1.
{
  "formula": "SmGa3Rh4",
  "functional": "GGA-PBE",
  "state": "relaxed",
  "formation_energy_ev_per_atom": -0.719,
  "lattice": [[2.1837, 1.2608, 7.7452], [-2.1837, 1.2608, 7.7452], [0.0000, -2.5216, 7.7452]],
  "species": ["Sm", "Ga", "Ga", "Ga", "Rh", "Rh", "Rh", "Rh"],
  "fractional_positions": [[0.0000, 0.0000, 0.0000], [0.2449, 0.2449, 0.2449], [0.5000, 0.5000, 0.5000], [0.7551, 0.7551, 0.7551], [0.1308, 0.1308, 0.1308], [0.3938, 0.3938, 0.3938], [0.6062, 0.6062, 0.6062], [0.8692, 0.8692, 0.8692]]
}

2.
{
  "formula": "Na6SeI2Br2",
  "functional": "GGA-PBE",
  "state": "relaxed",
  "total_energy_ha_per_atom": -0.1061,
  "lattice": [[3.9370, -6.5017, 0.0000], [3.9370, 6.5017, 0.0000], [-2.9291, 0.0000, 7.3173]],
  "species": ["Na", "Na", "Na", "Na", "Na", "Na", "Se", "I", "I", "Br", "Br"],
  "fractional_positions": [[0.0451, 0.3816, 0.2022], [0.2194, 0.2194, 0.7923], [0.3816, 0.0451, 0.2022], [0.6184, 0.9549, 0.7978], [0.7806, 0.7806, 0.2077], [0.9549, 0.6184, 0.7978], [0.0000, 0.0000, 0.0000], [0.1787, 0.8213, 0.5000], [0.8213, 0.1787, 0.5000], [0.3443, 0.6557, 0.0000], [0.6557, 0.3443, 0.0000]]
}

3.
{
  "formula": "TaIn2Os",
  "functional": "GGA-PBE",
  "state": "relaxed",
  "de_polymorph_ev_per_atom": 0.4479,
  "formation_energy_ev_per_atom": 0.483,
  "lattice": [[1.5235, 0.8796, 9.3082], [-1.5235, 0.8796, 9.3082], [0.0000, -1.7591, 9.3082]],
  "species": ["Ta", "In", "In", "Os"],
  "fractional_positions": [[0.0000, 0.0000, 0.0000], [0.2455, 0.2455, 0.2455], [0.7545, 0.7545, 0.7545], [0.5000, 0.5000, 0.5000]]
}

4.
{
  "formula": "ErFeOs",
  "functional": "GGA-PBE",
  "state": "relaxed",
  "de_polymorph_ev_per_atom": 0.5354,
  "formation_energy_ev_per_atom": 0.258,
  "lattice": [[6.6905, 0.0000, 0.0000], [0.0000, 6.6905, 0.0000], [0.0000, 0.0000, 5.6765]],
  "species": ["Er", "Er", "Er", "Er", "Fe", "Fe", "Fe", "Fe", "Os", "Os", "Os", "Os"],
  "fractional_positions": [[0.2416, 0.2416, 0.0000], [0.2584, 0.7416, 0.2500], [0.7416, 0.2584, 0.7500], [0.7584, 0.7584, 0.5000], [0.1400, 0.8600, 0.7500], [0.3600, 0.3600, 0.5000], [0.6400, 0.6400, 0.0000], [0.8600, 0.1400, 0.2500], [0.1200, 0.1200, 0.5000], [0.3800, 0.6200, 0.7500], [0.6200, 0.3800, 0.2500], [0.8800, 0.8800, 0.0000]]
}

no.,total magnetization (μB/f.u.)
1,0.0
2,0.2
3,0.0
4,0.0